No. 1
Entry from the Alexandria database: an optimized crystal structure of SiIr2Au (PBE-GGA).

Structure (CIF):
```
data_SiIr2Au
_chemical_formula_sum 'Si2 Ir4 Au2'
_cell_length_a 2.919
_cell_length_b 3.994
_cell_length_c 10.741
_cell_angle_alpha 90.00
_cell_angle_beta 90.00
_cell_angle_gamma 90.00
_space_group_name_H-M_alt 'I m m 2'
_space_group_IT_number 44
loop_
_space_group_symop_operation_xyz
'x,y,z'
'-x,-y,z'
'-x,y,z'
'x,-y,z'
'x+1/2,y+1/2,z+1/2'
'-x+1/2,-y+1/2,z+1/2'
'-x+1/2,y+1/2,z+1/2'
'x+1/2,-y+1/2,z+1/2'
loop_
_atom_site_label
_atom_site_fract_x
_atom_site_fract_y
_atom_site_fract_z
Si1 0.000 0.000 0.000
Ir1 0.000 0.000 0.524
Ir2 0.000 0.500 0.327
Au1 0.000 0.500 0.709
```

Final energy: -6.58 eV per atom
V: 15.65 Å³/atom

---

No. 2
Entry from the Alexandria database: an optimized crystal structure of Ac2LaCd (PBE-GGA).

Structure (CIF):
```
data_Ac2LaCd
_chemical_formula_sum 'Ac6 La3 Cd3'
_cell_length_a 3.8244
_cell_length_b 3.8244
_cell_length_c 39.2128
_cell_angle_alpha 90.00
_cell_angle_beta 90.00
_cell_angle_gamma 120.00
_space_group_name_H-M_alt 'R -3 m'
_space_group_IT_number 166
_space_group_name_Hall '-R 3 2"'
loop_
_atom_site_label
_atom_site_fract_x
_atom_site_fract_y
_atom_site_fract_z
Ac1 0.0000 0.0000 0.0881
La1 0.0000 0.0000 0.5000
Cd1 0.0000 0.0000 0.0000
```

ΔH_f (0 K): 17.5 kJ/mol of atoms
V: 41.39 Å³/atom

---

No. 3
Entry from the Alexandria database: an optimized crystal structure of NbTlTe2O (PBE-GGA).

Structure (CIF):
```
data_NbTlTe2O
_chemical_formula_sum 'Nb1 Tl1 Te2 O1'
_cell_length_a 5.274
_cell_length_b 5.274
_cell_length_c 5.699
_cell_angle_alpha 90.00
_cell_angle_beta 90.00
_cell_angle_gamma 90.00
_space_group_name_H-M_alt 'P 4/m m m'
_space_group_IT_number 123
_space_group_name_Hall '-P 4 2'
loop_
_atom_site_label
_atom_site_fract_x
_atom_site_fract_y
_atom_site_fract_z
Nb1 0.000 0.000 0.000
Tl1 0.000 0.000 0.500
Te1 0.000 0.500 0.000
O1 0.500 0.500 0.500
```

Final energy: -4.15 eV per atom
V: 31.70 Å³/atom

---

No. 4
Entry from the Alexandria database: an optimized crystal structure of CeY2ThS4 (PBE-GGA).

Structure (CIF):
```
data_CeY2ThS4
_chemical_formula_sum 'Ce1 Y2 Th1 S4'
_cell_length_a 6.817
_cell_length_b 3.946
_cell_length_c 6.985
_cell_angle_alpha 90.00
_cell_angle_beta 109.02
_cell_angle_gamma 90.00
_space_group_name_H-M_alt 'P 1 2/m 1'
_space_group_IT_number 10
loop_
_space_group_symop_operation_xyz
'x,y,z'
'-x,-y,-z'
'-x,y,-z'
'x,-y,z'
loop_
_atom_site_label
_atom_site_fract_x
_atom_site_fract_y
_atom_site_fract_z
Ce1 0.000 0.000 0.000
Y1 0.000 0.500 0.500
Y2 0.500 0.000 0.500
Th1 0.500 0.500 0.000
S1 0.245 0.000 0.737
S2 0.253 0.500 0.262
```

Final energy: -7.32 eV per atom
V: 22.21 Å³/atom

---

No. 5
Entry from the Alexandria database: an optimized crystal structure of Be6Pd (PBE-GGA).

Structure (CIF):
```
data_Be6Pd
_chemical_formula_sum 'Be24 Pd4'
_cell_length_a 6.553
_cell_length_b 4.220
_cell_length_c 9.317
_cell_angle_alpha 90.00
_cell_angle_beta 90.00
_cell_angle_gamma 90.00
_space_group_name_H-M_alt 'P n m a'
_space_group_IT_number 62
loop_
_space_group_symop_operation_xyz
'x,y,z'
'-x,-y,-z'
'-x+1/2,-y,z+1/2'
'x+1/2,y,-z+1/2'
'x+1/2,-y+1/2,-z+1/2'
'-x+1/2,y+1/2,z+1/2'
'-x,y+1/2,-z'
'x,-y+1/2,z'
loop_
_atom_site_label
_atom_site_fract_x
_atom_site_fract_y
_atom_site_fract_z
Be1 0.032 0.250 0.093
Be2 0.071 0.504 0.315
Be3 0.099 0.750 0.512
Be4 0.137 0.250 0.855
Be5 0.187 0.750 0.725
Pd1 0.240 0.750 0.101
```

ΔH_f (0 K): -10.9 kJ/mol of atoms
V: 9.20 Å³/atom

---

No. 6
Entry from the Alexandria database: an optimized crystal structure of KAgF3 (PBE-GGA).

Structure (CIF):
```
data_KAgF3
_chemical_formula_sum 'K4 Ag4 F12'
_cell_length_a 5.979
_cell_length_b 11.201
_cell_length_c 5.556
_cell_angle_alpha 90.00
_cell_angle_beta 90.00
_cell_angle_gamma 90.00
_space_group_name_H-M_alt 'P n m a'
_space_group_IT_number 62
loop_
_space_group_symop_operation_xyz
'x,y,z'
'-x,-y,-z'
'-x+1/2,-y,z+1/2'
'x+1/2,y,-z+1/2'
'x+1/2,-y+1/2,-z+1/2'
'-x+1/2,y+1/2,z+1/2'
'-x,y+1/2,-z'
'x,-y+1/2,z'
loop_
_atom_site_label
_atom_site_fract_x
_atom_site_fract_y
_atom_site_fract_z
K1 0.000 0.000 0.000
Ag1 0.013 0.250 0.464
F1 0.230 0.750 0.242
F2 0.242 0.632 0.742
```

Final energy: -3.63 eV per atom
V: 18.60 Å³/atom

---

No. 7
Entry from the Alexandria database: an optimized crystal structure of Y5ScIn6 (PBE-GGA).

Structure (CIF):
```
data_Y5ScIn6
_chemical_formula_sum 'Y10 Sc2 In12'
_cell_length_a 5.286
_cell_length_b 7.430
_cell_length_c 15.870
_cell_angle_alpha 90.00
_cell_angle_beta 90.00
_cell_angle_gamma 90.00
_space_group_name_H-M_alt 'I m m m'
_space_group_IT_number 71
_space_group_name_Hall '-I 2 2'
loop_
_atom_site_label
_atom_site_fract_x
_atom_site_fract_y
_atom_site_fract_z
Y1 0.000 0.000 0.000
Y2 0.000 0.000 0.329
Y3 0.000 0.500 0.335
Sc1 0.000 0.500 0.000
In1 0.000 0.236 0.500
In2 0.000 0.257 0.163
```

ΔH_f (0 K): -46.2 kJ/mol of atoms
V: 25.97 Å³/atom

---

No. 8
Entry from the Alexandria database: an optimized crystal structure of RbMgIr2 (PBE-GGA).

Structure (CIF):
```
data_RbMgIr2
_chemical_formula_sum 'Rb4 Mg4 Ir8'
_cell_length_a 4.857
_cell_length_b 4.857
_cell_length_c 18.807
_cell_angle_alpha 90.00
_cell_angle_beta 90.00
_cell_angle_gamma 90.00
_space_group_name_H-M_alt 'I -4 2 d'
_space_group_IT_number 122
_space_group_name_Hall 'I -4 2bw'
loop_
_atom_site_label
_atom_site_fract_x
_atom_site_fract_y
_atom_site_fract_z
Rb1 0.000 0.000 0.000
Mg1 0.000 0.000 0.500
Ir1 0.030 0.750 0.625
```

ΔH_f (0 K): 59.1 kJ/mol of atoms
V: 27.73 Å³/atom

---

No. 9
Entry from the Alexandria database: an optimized crystal structure of Pm2Er6Tm3In (PBE-GGA).

Structure (CIF):
```
data_Pm2Er6Tm3In
_chemical_formula_sum 'Pm4 Er12 Tm6 In2'
_cell_length_a 6.034
_cell_length_b 10.456
_cell_length_c 11.618
_cell_angle_alpha 90.00
_cell_angle_beta 99.99
_cell_angle_gamma 90.00
_space_group_name_H-M_alt 'C 1 2/m 1'
_space_group_IT_number 12
loop_
_space_group_symop_operation_xyz
'x,y,z'
'-x,-y,-z'
'-x,y,-z'
'x,-y,z'
'x+1/2,y+1/2,z'
'-x+1/2,-y+1/2,-z'
'-x+1/2,y+1/2,-z'
'x+1/2,-y+1/2,z'
loop_
_atom_site_label
_atom_site_fract_x
_atom_site_fract_y
_atom_site_fract_z
Pm1 0.000 0.166 0.000
Er1 0.245 0.500 0.748
Er2 0.247 0.336 0.251
Tm1 0.000 0.000 0.500
Tm2 0.000 0.333 0.500
In1 0.000 0.500 0.000
```

ΔH_f (0 K): -5.0 kJ/mol of atoms
V: 30.08 Å³/atom

---

No. 10
Entry from the Alexandria database: an optimized crystal structure of RePI3 (PBE-GGA).

Structure (CIF):
```
data_RePI3
_chemical_formula_sum 'Re1 P1 I3'
_cell_length_a 5.338
_cell_length_b 5.338
_cell_length_c 5.338
_cell_angle_alpha 90.00
_cell_angle_beta 90.00
_cell_angle_gamma 90.00
_space_group_name_H-M_alt 'P m -3 m'
_space_group_IT_number 221
_space_group_name_Hall '-P 4 2 3'
loop_
_atom_site_label
_atom_site_fract_x
_atom_site_fract_y
_atom_site_fract_z
Re1 0.000 0.000 0.000
P1 0.500 0.500 0.500
I1 0.000 0.000 0.500
```

Final energy: -3.28 eV per atom
V: 30.42 Å³/atom

---

No. 11
Entry from the Alexandria database: an optimized crystal structure of NdY5Ru6 (PBE-GGA).

Structure (CIF):
```
data_NdY5Ru6
_chemical_formula_sum 'Nd2 Y10 Ru12'
_cell_length_a 4.847
_cell_length_b 6.866
_cell_length_c 14.503
_cell_angle_alpha 90.00
_cell_angle_beta 90.00
_cell_angle_gamma 90.00
_space_group_name_H-M_alt 'I m m m'
_space_group_IT_number 71
_space_group_name_Hall '-I 2 2'
loop_
_atom_site_label
_atom_site_fract_x
_atom_site_fract_y
_atom_site_fract_z
Nd1 0.000 0.000 0.000
Y1 0.000 0.000 0.334
Y2 0.000 0.500 0.000
Y3 0.000 0.500 0.331
Ru1 0.000 0.249 0.500
Ru2 0.000 0.250 0.167
```

ΔH_f (0 K): -23.1 kJ/mol of atoms
V: 20.11 Å³/atom

---

No. 12
Entry from the Alexandria database: an optimized crystal structure of Zr2Ti3Al2 (PBE-GGA).

Structure (CIF):
```
data_Zr2Ti3Al2
_chemical_formula_sum 'Zr8 Ti12 Al8'
_cell_length_a 8.149
_cell_length_b 8.149
_cell_length_c 8.149
_cell_angle_alpha 90.00
_cell_angle_beta 90.00
_cell_angle_gamma 90.00
_space_group_name_H-M_alt 'I 21 3'
_space_group_IT_number 199
_space_group_name_Hall 'I 2b 2c 3'
loop_
_atom_site_label
_atom_site_fract_x
_atom_site_fract_y
_atom_site_fract_z
Zr1 0.171 0.329 0.671
Ti1 0.000 0.250 0.273
Al1 0.024 0.024 0.024
```

ΔH_f (0 K): 12.7 kJ/mol of atoms
V: 19.33 Å³/atom

---

No. 13
Entry from the Alexandria database: an optimized crystal structure of LiB2C2 (PBE-GGA).

Structure (CIF):
```
data_LiB2C2
_chemical_formula_sum 'Li8 B16 C16'
_cell_length_a 15.218
_cell_length_b 2.688
_cell_length_c 9.437
_cell_angle_alpha 90.00
_cell_angle_beta 107.49
_cell_angle_gamma 90.00
_space_group_name_H-M_alt 'C 1 m 1'
_space_group_IT_number 8
loop_
_space_group_symop_operation_xyz
'x,y,z'
'x,-y,z'
'x+1/2,y+1/2,z'
'x+1/2,-y+1/2,z'
loop_
_atom_site_label
_atom_site_fract_x
_atom_site_fract_y
_atom_site_fract_z
Li1 0.000 0.000 0.000
Li2 0.002 0.500 0.731
Li3 0.005 0.000 0.461
Li4 0.250 0.500 0.849
B1 0.123 0.000 0.705
B2 0.126 0.500 0.960
B3 0.131 0.000 0.212
B4 0.135 0.500 0.463
B5 0.372 0.000 0.000
B6 0.374 0.500 0.248
B7 0.379 0.500 0.750
B8 0.381 0.000 0.502
C1 0.123 0.000 0.871
C2 0.124 0.500 0.621
C3 0.126 0.500 0.124
C4 0.135 0.000 0.378
C5 0.371 0.500 0.083
C6 0.378 0.000 0.837
C7 0.379 0.000 0.337
C8 0.386 0.500 0.590
```

ΔH_f (0 K): -1.8 kJ/mol of atoms
V: 9.21 Å³/atom

---

No. 14
Entry from the Alexandria database: an optimized crystal structure of Sm2TlBi (PBE-GGA).

Structure (CIF):
```
data_Sm2TlBi
_chemical_formula_sum 'Sm8 Tl4 Bi4'
_cell_length_a 8.447
_cell_length_b 4.256
_cell_length_c 14.702
_cell_angle_alpha 90.00
_cell_angle_beta 90.00
_cell_angle_gamma 90.00
_space_group_name_H-M_alt 'P n m a'
_space_group_IT_number 62
loop_
_space_group_symop_operation_xyz
'x,y,z'
'-x,-y,-z'
'-x+1/2,-y,z+1/2'
'x+1/2,y,-z+1/2'
'x+1/2,-y+1/2,-z+1/2'
'-x+1/2,y+1/2,z+1/2'
'-x,y+1/2,-z'
'x,-y+1/2,z'
loop_
_atom_site_label
_atom_site_fract_x
_atom_site_fract_y
_atom_site_fract_z
Sm1 0.187 0.250 0.237
Sm2 0.194 0.750 0.993
Tl1 0.047 0.750 0.583
Bi1 0.069 0.250 0.841
```

ΔH_f (0 K): -47.7 kJ/mol of atoms
V: 33.04 Å³/atom

---

No. 15
Entry from the Alexandria database: an optimized crystal structure of MoPt3Cl (PBE-GGA).

Structure (CIF):
```
data_MoPt3Cl
_chemical_formula_sum 'Mo1 Pt3 Cl1'
_cell_length_a 4.541
_cell_length_b 4.541
_cell_length_c 4.541
_cell_angle_alpha 90.00
_cell_angle_beta 90.00
_cell_angle_gamma 90.00
_space_group_name_H-M_alt 'P m -3 m'
_space_group_IT_number 221
_space_group_name_Hall '-P 4 2 3'
loop_
_atom_site_label
_atom_site_fract_x
_atom_site_fract_y
_atom_site_fract_z
Mo1 0.000 0.000 0.000
Pt1 0.000 0.500 0.500
Cl1 0.500 0.500 0.500
```

Final energy: -4.90 eV per atom
V: 18.73 Å³/atom

---

No. 16
Entry from the Alexandria database: an optimized crystal structure of KCd3Cu (PBE-GGA).

Structure (CIF):
```
data_KCd3Cu
_chemical_formula_sum 'K1 Cd3 Cu1'
_cell_length_a 5.172
_cell_length_b 5.172
_cell_length_c 5.172
_cell_angle_alpha 90.00
_cell_angle_beta 90.00
_cell_angle_gamma 90.00
_space_group_name_H-M_alt 'P m -3 m'
_space_group_IT_number 221
_space_group_name_Hall '-P 4 2 3'
loop_
_atom_site_label
_atom_site_fract_x
_atom_site_fract_y
_atom_site_fract_z
K1 0.000 0.000 0.000
Cd1 0.000 0.500 0.500
Cu1 0.500 0.500 0.500
```

ΔH_f (0 K): 2.0 kJ/mol of atoms
V: 27.67 Å³/atom

---

No. 17
Entry from the Alexandria database: an optimized crystal structure of Li2DySnTe4 (PBE-GGA).

Structure (CIF):
```
data_Li2DySnTe4
_chemical_formula_sum 'Li2 Dy1 Sn1 Te4'
_cell_length_a 7.451
_cell_length_b 4.299
_cell_length_c 7.575
_cell_angle_alpha 90.00
_cell_angle_beta 109.94
_cell_angle_gamma 90.00
_space_group_name_H-M_alt 'P 1 2/m 1'
_space_group_IT_number 10
loop_
_space_group_symop_operation_xyz
'x,y,z'
'-x,-y,-z'
'-x,y,-z'
'x,-y,z'
loop_
_atom_site_label
_atom_site_fract_x
_atom_site_fract_y
_atom_site_fract_z
Li1 0.000 0.000 0.000
Li2 0.000 0.500 0.500
Dy1 0.500 0.000 0.500
Sn1 0.500 0.500 0.000
Te1 0.241 0.000 0.746
Te2 0.244 0.500 0.245
```

Final energy: -4.00 eV per atom
V: 28.51 Å³/atom

---

No. 18
Entry from the Alexandria database: an optimized crystal structure of Li2AlGa2O6 (PBE-GGA).

Structure (CIF):
```
data_Li2AlGa2O6
_chemical_formula_sum 'Li4 Al2 Ga4 O12'
_cell_length_a 5.094
_cell_length_b 8.798
_cell_length_c 5.151
_cell_angle_alpha 90.00
_cell_angle_beta 110.37
_cell_angle_gamma 90.00
_space_group_name_H-M_alt 'C 1 2/m 1'
_space_group_IT_number 12
loop_
_space_group_symop_operation_xyz
'x,y,z'
'-x,-y,-z'
'-x,y,-z'
'x,-y,z'
'x+1/2,y+1/2,z'
'-x+1/2,-y+1/2,-z'
'-x+1/2,y+1/2,-z'
'x+1/2,-y+1/2,z'
loop_
_atom_site_label
_atom_site_fract_x
_atom_site_fract_y
_atom_site_fract_z
Li1 0.000 0.165 0.000
Al1 0.000 0.000 0.500
Ga1 0.000 0.338 0.500
O1 0.227 0.166 0.716
O2 0.242 0.000 0.291
```

Final energy: -5.92 eV per atom
V: 9.83 Å³/atom

---

No. 19
Entry from the Alexandria database: an optimized crystal structure of YSeIBr2 (PBE-GGA).

Structure (CIF):
```
data_YSeIBr2
_chemical_formula_sum 'Y1 Se1 I1 Br2'
_cell_length_a 5.410
_cell_length_b 5.410
_cell_length_c 5.975
_cell_angle_alpha 90.00
_cell_angle_beta 90.00
_cell_angle_gamma 90.00
_space_group_name_H-M_alt 'P 4/m m m'
_space_group_IT_number 123
_space_group_name_Hall '-P 4 2'
loop_
_atom_site_label
_atom_site_fract_x
_atom_site_fract_y
_atom_site_fract_z
Y1 0.000 0.000 0.000
Se1 0.000 0.000 0.500
I1 0.500 0.500 0.500
Br1 0.000 0.500 0.000
```

Final energy: -3.85 eV per atom
V: 34.97 Å³/atom

---

No. 20
Entry from the Alexandria database: an optimized crystal structure of YCd2Cl (PBE-GGA).

Structure (CIF):
```
data_YCd2Cl
_chemical_formula_sum 'Y1 Cd2 Cl1'
_cell_length_a 3.382
_cell_length_b 4.744
_cell_length_c 6.013
_cell_angle_alpha 90.00
_cell_angle_beta 90.00
_cell_angle_gamma 90.00
_space_group_name_H-M_alt 'P m m m'
_space_group_IT_number 47
loop_
_space_group_symop_operation_xyz
'x,y,z'
'-x,-y,-z'
'-x,-y,z'
'x,y,-z'
'x,-y,-z'
'-x,y,z'
'-x,y,-z'
'x,-y,z'
loop_
_atom_site_label
_atom_site_fract_x
_atom_site_fract_y
_atom_site_fract_z
Y1 0.000 0.000 0.000
Cd1 0.000 0.500 0.500
Cd2 0.500 0.000 0.500
Cl1 0.500 0.500 0.000
```

Final energy: -3.12 eV per atom
V: 24.12 Å³/atom